The following is a PBE-GGA calculation of ZnCo2Hg after structural relaxation, from Alexandria.

Results
DFT total energy   -3.41 eV per atom
DOS at the Fermi energy   0.73 states/eV/atom
Formation energy   541 meV per atom

Cell: 3.7860 3.7860 18.0125 Å, 90.00 90.00 90.00°
Last column: nearest neighbours and their distance in Å.
Fractional coordinates of all 16 atoms:
Zn (0.0000, 0.0000, 0.0000)  4 Co 2.53, 4 Hg 2.68
Zn (0.0000, 0.5000, 0.2500)  4 Co 2.53, 4 Hg 2.68
Zn (0.5000, 0.0000, 0.7500)  4 Co 2.53, 4 Hg 2.68
Zn (0.5000, 0.5000, 0.5000)  4 Co 2.53, 4 Hg 2.68
Co (0.1748, 0.2500, 0.1250)  2 Co 2.31, 2 Zn 2.53
Co (0.2500, 0.6748, 0.3750)  2 Co 2.31, 2 Zn 2.53
Co (0.2500, 0.8252, 0.8750)  2 Co 2.31, 2 Zn 2.53
Co (0.3252, 0.2500, 0.6250)  2 Co 2.31, 2 Zn 2.53
Co (0.6748, 0.7500, 0.6250)  2 Co 2.31, 2 Zn 2.53
Co (0.7500, 0.1748, 0.8750)  2 Co 2.31, 2 Zn 2.53
Co (0.7500, 0.3252, 0.3750)  2 Co 2.31, 2 Zn 2.53
Co (0.8252, 0.7500, 0.1250)  2 Co 2.31, 2 Zn 2.53
Hg (0.0000, 0.0000, 0.5000)  4 Zn 2.68, 4 Co 2.74
Hg (0.0000, 0.5000, 0.7500)  4 Zn 2.68, 4 Co 2.74
Hg (0.5000, 0.0000, 0.2500)  4 Zn 2.68, 4 Co 2.74
Hg (0.5000, 0.5000, 0.0000)  4 Zn 2.68, 4 Co 2.74